(1)
# La3SmN3

A geometry-optimized La3SmN3 structure (PBE, Alexandria via LeMat-Bulk).

Properties
formation energy (no corrections)	-1.154	eV/atom
ρ	7.17	Mg/m³
total moment	0.0	μB/f.u.

```
data_La3SmN3
_cell_length_a 5.207
_cell_length_b 5.207
_cell_length_c 5.207
_cell_angle_alpha 90.00
_cell_angle_beta 90.00
_cell_angle_gamma 90.00
_symmetry_space_group_name_H-M 'P m -3 m'
_symmetry_Int_Tables_number 221
_symmetry_space_group_name_Hall '-P 4 2 3'
loop_
_atom_site_label
_atom_site_type_symbol
_atom_site_fract_x
_atom_site_fract_y
_atom_site_fract_z
La1 La 0.000 0.000 0.500
Sm1 Sm 0.500 0.500 0.500
N1 N 0.000 0.500 0.500
```

***

(2)
# LaSm4N5

A geometry-optimized LaSm4N5 structure (PBE, Alexandria via LeMat-Bulk).

Properties
formation energy (no corrections)	-1.441	eV/atom
ρ	8.00	Mg/m³
total moment	0.0	μB/f.u.

```
data_LaSm4N5
_cell_length_a 8.074
_cell_length_b 8.074
_cell_length_c 5.162
_cell_angle_alpha 90.00
_cell_angle_beta 90.00
_cell_angle_gamma 90.00
_symmetry_space_group_name_H-M 'I 4'
_symmetry_Int_Tables_number 79
_symmetry_space_group_name_Hall 'I 4'
loop_
_atom_site_label
_atom_site_type_symbol
_atom_site_fract_x
_atom_site_fract_y
_atom_site_fract_z
La1 La 0.000 0.000 0.000
Sm1 Sm 0.099 0.699 0.501
N1 N 0.000 0.000 0.488
N2 N 0.102 0.695 0.977
```

***

(3)
# LaSmN

A geometry-optimized LaSmN structure (PBE, Alexandria via LeMat-Bulk).

Properties
formation energy (no corrections)	-0.370	eV/atom
ρ	8.20	Mg/m³
total moment	0.0	μB/f.u.

```
data_LaSmN
_cell_length_a 6.262
_cell_length_b 6.262
_cell_length_c 6.262
_cell_angle_alpha 90.00
_cell_angle_beta 90.00
_cell_angle_gamma 90.00
_symmetry_space_group_name_H-M 'F -4 3 m'
_symmetry_Int_Tables_number 216
_symmetry_space_group_name_Hall 'F -4 2 3'
loop_
_atom_site_label
_atom_site_type_symbol
_atom_site_fract_x
_atom_site_fract_y
_atom_site_fract_z
La1 La 0.000 0.000 0.000
Sm1 Sm 0.000 0.000 0.500
N1 N 0.250 0.250 0.250
```

***

(4)
# La3SmN3

A geometry-optimized La3SmN3 structure (PBE, Alexandria via LeMat-Bulk).

Properties
formation energy (no corrections)	-0.846	eV/atom
ρ	6.97	Mg/m³
total moment	0.6	μB/f.u.

```
data_La3SmN3
_cell_length_a 7.579
_cell_length_b 11.135
_cell_length_c 6.884
_cell_angle_alpha 90.00
_cell_angle_beta 93.18
_cell_angle_gamma 90.00
_symmetry_space_group_name_H-M 'C 1 2/m 1'
_symmetry_Int_Tables_number 12
_symmetry_space_group_name_Hall '-C 2y'
loop_
_atom_site_label
_atom_site_type_symbol
_atom_site_fract_x
_atom_site_fract_y
_atom_site_fract_z
La1 La 0.000 0.190 0.000
La2 La 0.000 0.258 0.500
La3 La 0.146 0.500 0.142
Sm1 Sm 0.223 0.000 0.373
N1 N 0.063 0.000 0.737
N2 N 0.130 0.352 0.819
```

***

(5)
# La2SmN3

A geometry-optimized La2SmN3 structure (PBE, Alexandria via LeMat-Bulk).

Properties
formation energy (no corrections)	-1.359	eV/atom
ρ	7.26	Mg/m³
total moment	0.0	μB/f.u.

```
data_La2SmN3
_cell_length_a 3.690
_cell_length_b 3.690
_cell_length_c 15.803
_cell_angle_alpha 90.00
_cell_angle_beta 90.00
_cell_angle_gamma 90.00
_symmetry_space_group_name_H-M 'I 4/m m m'
_symmetry_Int_Tables_number 139
_symmetry_space_group_name_Hall '-I 4 2'
loop_
_atom_site_label
_atom_site_type_symbol
_atom_site_fract_x
_atom_site_fract_y
_atom_site_fract_z
La1 La 0.000 0.000 0.162
Sm1 Sm 0.000 0.000 0.500
N1 N 0.000 0.000 0.000
N2 N 0.000 0.000 0.341
```

***

(6)
# LaSmN

A geometry-optimized LaSmN structure (PBE, Alexandria via LeMat-Bulk).

Properties
formation energy (no corrections)	-0.820	eV/atom
ρ	6.16	Mg/m³
total moment	0.6	μB/f.u.

```
data_LaSmN
_cell_length_a 3.9358
_cell_length_b 3.9358
_cell_length_c 6.0943
_cell_angle_alpha 90.00
_cell_angle_beta 90.00
_cell_angle_gamma 120.00
_symmetry_space_group_name_H-M 'P 3 m 1'
_symmetry_Int_Tables_number 156
_symmetry_space_group_name_Hall 'P 3 -2"'
loop_
_atom_site_label
_atom_site_type_symbol
_atom_site_fract_x
_atom_site_fract_y
_atom_site_fract_z
La1 La 0.0000 0.0000 0.0000
Sm1 Sm 0.3333 0.6667 0.4800
N1 N 0.0000 0.0000 0.3754
```

***

(7)
# La4Sm2N

A geometry-optimized La4Sm2N structure (PBE, Alexandria via LeMat-Bulk).

Properties
formation energy (no corrections)	-0.219	eV/atom
ρ	6.23	Mg/m³
total moment	0.0	μB/f.u.

```
data_La4Sm2N
_cell_length_a 5.119
_cell_length_b 5.119
_cell_length_c 17.718
_cell_angle_alpha 90.00
_cell_angle_beta 90.00
_cell_angle_gamma 90.00
_symmetry_space_group_name_H-M 'I 4/m m m'
_symmetry_Int_Tables_number 139
_symmetry_space_group_name_Hall '-I 4 2'
loop_
_atom_site_label
_atom_site_type_symbol
_atom_site_fract_x
_atom_site_fract_y
_atom_site_fract_z
La1 La 0.000 0.000 0.137
La2 La 0.000 0.500 0.000
Sm1 Sm 0.000 0.000 0.335
N1 N 0.000 0.000 0.000
```

***

(8)
# La8SmN6

A geometry-optimized La8SmN6 structure (PBE, Alexandria via LeMat-Bulk).

Properties
formation energy (no corrections)	-1.100	eV/atom
ρ	6.49	Mg/m³
total moment	1.8	μB/f.u.

```
data_La8SmN6
_cell_length_a 6.4250
_cell_length_b 6.4250
_cell_length_c 28.8999
_cell_angle_alpha 90.00
_cell_angle_beta 90.00
_cell_angle_gamma 120.00
_symmetry_space_group_name_H-M 'R -3'
_symmetry_Int_Tables_number 148
_symmetry_space_group_name_Hall '-R 3'
loop_
_atom_site_label
_atom_site_type_symbol
_atom_site_fract_x
_atom_site_fract_y
_atom_site_fract_z
La1 La 0.0000 0.0000 0.1667
La2 La 0.0000 0.3346 0.4006
Sm1 Sm 0.0000 0.0000 0.5000
N1 N 0.0000 0.3250 0.5555
```

***

(9)
# La5Sm3N8

A geometry-optimized La5Sm3N8 structure (PBE, Alexandria via LeMat-Bulk).

Properties
formation energy (no corrections)	-1.365	eV/atom
ρ	7.34	Mg/m³
total moment	0.0	μB/f.u.

```
data_La5Sm3N8
_cell_length_a 7.3788
_cell_length_b 7.3788
_cell_length_c 18.1022
_cell_angle_alpha 90.00
_cell_angle_beta 90.00
_cell_angle_gamma 120.00
_symmetry_space_group_name_H-M 'R -3 m'
_symmetry_Int_Tables_number 166
_symmetry_space_group_name_Hall '-R 3 2"'
loop_
_atom_site_label
_atom_site_type_symbol
_atom_site_fract_x
_atom_site_fract_y
_atom_site_fract_z
La1 La 0.0000 0.0000 0.0000
La2 La 0.0000 0.0000 0.5000
La3 La 0.0000 0.5000 0.0000
Sm1 Sm 0.0000 0.5000 0.5000
N1 N 0.0000 0.0000 0.2476
N2 N 0.0038 0.5019 0.7519
```

***

(10)
# LaSmN

A geometry-optimized LaSmN structure (PBE, Alexandria via LeMat-Bulk).

Properties
formation energy (no corrections)	-0.892	eV/atom
ρ	6.77	Mg/m³
total moment	0.3	μB/f.u.

```
data_LaSmN
_cell_length_a 3.6267
_cell_length_b 3.6267
_cell_length_c 6.5347
_cell_angle_alpha 90.00
_cell_angle_beta 90.00
_cell_angle_gamma 120.00
_symmetry_space_group_name_H-M 'P 3 m 1'
_symmetry_Int_Tables_number 156
_symmetry_space_group_name_Hall 'P 3 -2"'
loop_
_atom_site_label
_atom_site_type_symbol
_atom_site_fract_x
_atom_site_fract_y
_atom_site_fract_z
La1 La 0.0000 0.0000 0.0000
Sm1 Sm 0.6667 0.3333 0.4248
N1 N 0.3333 0.6667 0.2264
```

***

(11)
# La5SmN6

A geometry-optimized La5SmN6 structure (PBE, Alexandria via LeMat-Bulk).

Properties
formation energy (no corrections)	-1.338	eV/atom
ρ	7.03	Mg/m³
total moment	0.0	μB/f.u.

```
data_La5SmN6
_cell_length_a 6.453
_cell_length_b 11.182
_cell_length_c 6.449
_cell_angle_alpha 90.00
_cell_angle_beta 109.43
_cell_angle_gamma 90.00
_symmetry_space_group_name_H-M 'C 1 2/m 1'
_symmetry_Int_Tables_number 12
_symmetry_space_group_name_Hall '-C 2y'
loop_
_atom_site_label
_atom_site_type_symbol
_atom_site_fract_x
_atom_site_fract_y
_atom_site_fract_z
La1 La 0.000 0.000 0.000
La2 La 0.000 0.167 0.500
La3 La 0.000 0.335 0.000
Sm1 Sm 0.000 0.500 0.500
N1 N 0.243 0.500 0.251
N2 N 0.245 0.337 0.746
```

***

(12)
# LaSm2N2

A geometry-optimized LaSm2N2 structure (PBE, Alexandria via LeMat-Bulk).

Properties
formation energy (no corrections)	-1.129	eV/atom
ρ	7.20	Mg/m³
total moment	0.2	μB/f.u.

```
data_LaSm2N2
_cell_length_a 3.6377
_cell_length_b 3.6377
_cell_length_c 28.2442
_cell_angle_alpha 90.00
_cell_angle_beta 90.00
_cell_angle_gamma 120.00
_symmetry_space_group_name_H-M 'R -3 m'
_symmetry_Int_Tables_number 166
_symmetry_space_group_name_Hall '-R 3 2"'
loop_
_atom_site_label
_atom_site_type_symbol
_atom_site_fract_x
_atom_site_fract_y
_atom_site_fract_z
La1 La 0.0000 0.0000 0.0000
Sm1 Sm 0.0000 0.0000 0.2310
N1 N 0.0000 0.0000 0.3940
```

***

(13)
# La5Sm2N5

A geometry-optimized La5Sm2N5 structure (PBE, Alexandria via LeMat-Bulk).

Properties
formation energy (no corrections)	-0.981	eV/atom
ρ	7.48	Mg/m³
total moment	0.0	μB/f.u.

```
data_La5Sm2N5
_cell_length_a 12.203
_cell_length_b 3.639
_cell_length_c 11.115
_cell_angle_alpha 90.00
_cell_angle_beta 106.55
_cell_angle_gamma 90.00
_symmetry_space_group_name_H-M 'C 1 2/m 1'
_symmetry_Int_Tables_number 12
_symmetry_space_group_name_Hall '-C 2y'
loop_
_atom_site_label
_atom_site_type_symbol
_atom_site_fract_x
_atom_site_fract_y
_atom_site_fract_z
La1 La 0.000 0.000 0.000
La2 La 0.160 0.000 0.563
La3 La 0.239 0.000 0.859
Sm1 Sm 0.028 0.500 0.291
N1 N 0.000 0.500 0.500
N2 N 0.127 0.500 0.927
N3 N 0.164 0.000 0.333
```

***

(14)
# LaSm4N4

A geometry-optimized LaSm4N4 structure (PBE, Alexandria via LeMat-Bulk).

Properties
formation energy (no corrections)	-1.288	eV/atom
ρ	7.82	Mg/m³
total moment	0.3	μB/f.u.

```
data_LaSm4N4
_cell_length_a 8.167
_cell_length_b 8.167
_cell_length_c 5.068
_cell_angle_alpha 90.00
_cell_angle_beta 90.00
_cell_angle_gamma 90.00
_symmetry_space_group_name_H-M 'I 4/m'
_symmetry_Int_Tables_number 87
_symmetry_space_group_name_Hall '-I 4'
loop_
_atom_site_label
_atom_site_type_symbol
_atom_site_fract_x
_atom_site_fract_y
_atom_site_fract_z
La1 La 0.000 0.000 0.000
Sm1 Sm 0.110 0.316 0.500
N1 N 0.098 0.302 0.000
```

***

(15)
# LaSm4N4

A geometry-optimized LaSm4N4 structure (PBE, Alexandria via LeMat-Bulk).

Properties
formation energy (no corrections)	-0.675	eV/atom
ρ	6.83	Mg/m³
total moment	2.4	μB/f.u.

```
data_LaSm4N4
_cell_length_a 5.896
_cell_length_b 5.896
_cell_length_c 11.136
_cell_angle_alpha 90.00
_cell_angle_beta 90.00
_cell_angle_gamma 90.00
_symmetry_space_group_name_H-M 'I -4 2 m'
_symmetry_Int_Tables_number 121
_symmetry_space_group_name_Hall 'I -4 2'
loop_
_atom_site_label
_atom_site_type_symbol
_atom_site_fract_x
_atom_site_fract_y
_atom_site_fract_z
La1 La 0.000 0.000 0.000
Sm1 Sm 0.000 0.000 0.285
Sm2 Sm 0.000 0.500 0.000
N1 N 0.246 0.246 0.119
```

***

(16)
# LaSm3N3

A geometry-optimized LaSm3N3 structure (PBE, Alexandria via LeMat-Bulk).

Properties
formation energy (no corrections)	-1.151	eV/atom
ρ	7.71	Mg/m³
total moment	0.0	μB/f.u.

```
data_LaSm3N3
_cell_length_a 5.144
_cell_length_b 5.144
_cell_length_c 5.144
_cell_angle_alpha 90.00
_cell_angle_beta 90.00
_cell_angle_gamma 90.00
_symmetry_space_group_name_H-M 'P m -3 m'
_symmetry_Int_Tables_number 221
_symmetry_space_group_name_Hall '-P 4 2 3'
loop_
_atom_site_label
_atom_site_type_symbol
_atom_site_fract_x
_atom_site_fract_y
_atom_site_fract_z
La1 La 0.000 0.000 0.000
Sm1 Sm 0.000 0.500 0.500
N1 N 0.000 0.000 0.500
```

***

(17)
# La12SmSn4N3

A geometry-optimized La12SmSn4N3 structure (PBE, Alexandria via LeMat-Bulk).

Properties
formation energy (no corrections)	-0.654	eV/atom
ρ	6.93	Mg/m³
total moment	0.0	μB/f.u.

```
data_La12SmSn4N3
_cell_length_a 10.382
_cell_length_b 10.382
_cell_length_c 10.382
_cell_angle_alpha 90.00
_cell_angle_beta 90.00
_cell_angle_gamma 90.00
_symmetry_space_group_name_H-M 'I m -3 m'
_symmetry_Int_Tables_number 229
_symmetry_space_group_name_Hall '-I 4 2 3'
loop_
_atom_site_label
_atom_site_type_symbol
_atom_site_fract_x
_atom_site_fract_y
_atom_site_fract_z
La1 La 0.000 0.000 0.273
La2 La 0.000 0.250 0.500
Sm1 Sm 0.000 0.000 0.000
Sn1 Sn 0.250 0.250 0.250
N1 N 0.000 0.000 0.500
```

***

(18)
# LaSmSnN

A geometry-optimized LaSmSnN structure (PBE, Alexandria via LeMat-Bulk).

Properties
formation energy (no corrections)	-0.982	eV/atom
ρ	6.69	Mg/m³
total moment	0.0	μB/f.u.

```
data_LaSmSnN
_cell_length_a 4.767
_cell_length_b 4.767
_cell_length_c 9.220
_cell_angle_alpha 90.00
_cell_angle_beta 90.00
_cell_angle_gamma 90.00
_symmetry_space_group_name_H-M 'P 4/n m m'
_symmetry_Int_Tables_number 129
loop_
_symmetry_equiv_pos_as_xyz
'x,y,z'
'-x,-y,-z'
'-y+1/2,x,z'
'y+1/2,-x,-z'
'-x+1/2,-y+1/2,z'
'x+1/2,y+1/2,-z'
'y,-x+1/2,z'
'-y,x+1/2,-z'
'x+1/2,-y,-z'
'-x+1/2,y,z'
'-y,-x,-z'
'y,x,z'
'-x,y+1/2,-z'
'x,-y+1/2,z'
'y+1/2,x+1/2,-z'
'-y+1/2,-x+1/2,z'
loop_
_atom_site_label
_atom_site_type_symbol
_atom_site_fract_x
_atom_site_fract_y
_atom_site_fract_z
La1 La 0.250 0.750 0.000
Sm1 Sm 0.250 0.250 0.331
Sn1 Sn 0.250 0.250 0.692
N1 N 0.250 0.250 0.088
```

***

(19)
# La2SmSnN4

A geometry-optimized La2SmSnN4 structure (PBE, Alexandria via LeMat-Bulk).

Properties
formation energy (no corrections)	-0.754	eV/atom
ρ	7.09	Mg/m³
total moment	0.0	μB/f.u.

```
data_La2SmSnN4
_cell_length_a 3.673
_cell_length_b 12.111
_cell_length_c 12.689
_cell_angle_alpha 90.00
_cell_angle_beta 90.00
_cell_angle_gamma 90.00
_symmetry_space_group_name_H-M 'C m c m'
_symmetry_Int_Tables_number 63
_symmetry_space_group_name_Hall '-C 2c 2'
loop_
_atom_site_label
_atom_site_type_symbol
_atom_site_fract_x
_atom_site_fract_y
_atom_site_fract_z
La1 La 0.000 0.130 0.036
Sm1 Sm 0.000 0.384 0.250
Sn1 Sn 0.000 0.350 0.750
N1 N 0.000 0.052 0.250
N2 N 0.000 0.225 0.633
N3 N 0.000 0.500 0.000
```

***

(20)
# LaSm2SnN

A geometry-optimized LaSm2SnN structure (PBE, Alexandria via LeMat-Bulk).

Properties
formation energy (no corrections)	-0.995	eV/atom
ρ	7.62	Mg/m³
total moment	0.0	μB/f.u.

```
data_LaSm2SnN
_cell_length_a 4.968
_cell_length_b 4.968
_cell_length_c 5.054
_cell_angle_alpha 90.00
_cell_angle_beta 90.00
_cell_angle_gamma 90.00
_symmetry_space_group_name_H-M 'P 4/m m m'
_symmetry_Int_Tables_number 123
_symmetry_space_group_name_Hall '-P 4 2'
loop_
_atom_site_label
_atom_site_type_symbol
_atom_site_fract_x
_atom_site_fract_y
_atom_site_fract_z
La1 La 0.000 0.000 0.000
Sm1 Sm 0.000 0.500 0.500
Sn1 Sn 0.500 0.500 0.000
N1 N 0.000 0.000 0.500
```